(1)
Below is crystalline BaP2Pd8 at its relaxed geometry, with properties calculated at the PBE level.

Lattice parameters (Å, degrees): 5.4835 5.4835 8.2125 90.00 90.00 90.00
Closest atoms and distances in Å follow each position.
Atoms (fractional coordinates):
Ba 0.0000 0.0000 0.0000  8 Pd 3.32
P 0.0000 0.5000 0.5000  8 Pd 2.40
P 0.5000 0.0000 0.5000  8 Pd 2.40
Pd 0.2516 0.2516 0.3270  2 P 2.40
Pd 0.2516 0.2516 0.6730  2 P 2.40
Pd 0.2516 0.7484 0.3270  2 P 2.40
Pd 0.2516 0.7484 0.6730  2 P 2.40
Pd 0.7484 0.2516 0.3270  2 P 2.40
Pd 0.7484 0.2516 0.6730  2 P 2.40
Pd 0.7484 0.7484 0.3270  2 P 2.40
Pd 0.7484 0.7484 0.6730  2 P 2.40

## Properties
Energy of formation   -0.260 eV/atom

=====

(2)
Below is crystalline Al2HgOs at its relaxed geometry, with properties calculated at the PBE level.

Lattice parameters (Å, degrees): 8.6904 3.1190 5.0238 90.00 100.95 90.00
Closest atoms and distances in Å follow each position.
Atoms (fractional coordinates):
Al 0.2338 0.0000 0.2026  3 Os 2.61-2.70, 2 Al 2.62, 1 Hg 2.74
Al 0.2662 0.5000 0.7974  3 Os 2.61-2.70, 2 Al 2.62, 1 Hg 2.74
Al 0.7338 0.5000 0.2026  3 Os 2.61-2.70, 2 Al 2.62, 1 Hg 2.74
Al 0.7662 0.0000 0.7974  3 Os 2.61-2.70, 2 Al 2.62, 1 Hg 2.74
Hg 0.0000 0.0000 0.5000  6 Al 2.74-2.95, 4 Os 2.96
Hg 0.5000 0.5000 0.5000  6 Al 2.74-2.95, 4 Os 2.96
Os 0.0000 0.5000 0.0000  6 Al 2.61-2.70
Os 0.5000 0.0000 0.0000  6 Al 2.61-2.70

## Properties
Energy of formation   0.122 eV/atom

=====

(3)
Below is crystalline UBeRh at its relaxed geometry, with properties calculated at the PBE level.

Lattice parameters (Å, degrees): 7.2390 4.1028 6.2370 90.00 90.00 90.00
Closest atoms and distances in Å follow each position.
Atoms (fractional coordinates):
U 0.0084 0.2500 0.1432  2 U 2.72, 5 Be 2.81-3.01, 4 Rh 2.84-2.90
U 0.4916 0.7500 0.6432  2 U 2.72, 5 Be 2.81-3.01, 4 Rh 2.84-2.90
U 0.5084 0.2500 0.3568  2 U 2.72, 5 Be 2.81-3.01, 4 Rh 2.84-2.90
U 0.9916 0.7500 0.8568  2 U 2.72, 5 Be 2.81-3.01, 4 Rh 2.84-2.90
Be 0.1890 0.2500 0.6129  4 Rh 2.36-2.37
Be 0.3110 0.7500 0.1129  4 Rh 2.36-2.37
Be 0.6890 0.2500 0.8871  4 Rh 2.36-2.37
Be 0.8110 0.7500 0.3871  4 Rh 2.36-2.37
Rh 0.1349 0.7500 0.4331  4 Be 2.36-2.37
Rh 0.3651 0.2500 0.9331  4 Be 2.36-2.37
Rh 0.6349 0.7500 0.0669  4 Be 2.36-2.37
Rh 0.8651 0.2500 0.5669  4 Be 2.36-2.37

## Properties
Energy of formation   -0.368 eV/atom

=====

(4)
Below is crystalline Ce4RuAu at its relaxed geometry, with properties calculated at the PBE level.

Lattice parameters (Å, degrees): 8.1660 8.1660 6.4885 104.83 104.83 119.69
Closest atoms and distances in Å follow each position.
Atoms (fractional coordinates):
Ce 0.0434 0.5889 0.8359  1 Ru 2.74, 2 Ce 2.91-3.06, 1 Au 2.98
Ce 0.1745 0.2977 0.7193  2 Ru 2.67-2.91
Ce 0.2977 0.1745 0.2193  2 Ru 2.67-2.91
Ce 0.4111 0.9566 0.6641  1 Ru 2.74, 2 Ce 2.91-3.06, 1 Au 2.98
Ce 0.5889 0.0434 0.3359  1 Ru 2.74, 2 Ce 2.91-3.06, 1 Au 2.98
Ce 0.7023 0.8255 0.7807  2 Ru 2.67-2.91
Ce 0.8255 0.7023 0.2807  2 Ru 2.67-2.91
Ce 0.9566 0.4111 0.1641  1 Ru 2.74, 2 Ce 2.91-3.06, 1 Au 2.98
Ru 0.0848 0.9152 0.7500  6 Ce 2.67-2.91
Ru 0.9152 0.0848 0.2500  6 Ce 2.67-2.91
Au 0.4016 0.5984 0.2500  6 Ce 2.98-3.07
Au 0.5984 0.4016 0.7500  6 Ce 2.98-3.07

## Properties
Energy of formation   -0.221 eV/atom

=====

(5)
Below is crystalline CsSbPbSe3 at its relaxed geometry, with properties calculated at the PBE level.

Lattice parameters (Å, degrees): 9.3075 4.2655 11.8905 90.00 109.64 90.00
Closest atoms and distances in Å follow each position.
Atoms (fractional coordinates):
Cs 0.2236 0.2500 0.2607  5 Se 3.66-3.82, 1 Pb 4.03
Cs 0.7764 0.7500 0.7393  5 Se 3.66-3.82, 1 Pb 4.03
Sb 0.3667 0.7500 0.8593  5 Se 2.73-2.94
Sb 0.6333 0.2500 0.1407  5 Se 2.73-2.94
Pb 0.1508 0.2500 0.5764  3 Se 2.82-2.83
Pb 0.8492 0.7500 0.4236  3 Se 2.82-2.83
Se 0.1367 0.2500 0.8093  1 Pb 2.82, 2 Sb 2.94
Se 0.3574 0.7500 0.5930  2 Pb 2.83, 1 Sb 3.14
Se 0.4058 0.7500 0.0977  3 Sb 2.73-2.93
Se 0.5942 0.2500 0.9023  3 Sb 2.73-2.93
Se 0.6426 0.2500 0.4070  2 Pb 2.83, 1 Sb 3.14
Se 0.8633 0.7500 0.1907  1 Pb 2.82, 2 Sb 2.94

## Properties
Formation energy without anion corrections   -0.598 eV per atom

=====

(6)
Below is crystalline NaCaBiSb at its relaxed geometry, with properties calculated at the PBE level.

Lattice parameters (Å, degrees): 7.7693 7.7693 7.7693 90.00 90.00 90.00
Closest atoms and distances in Å follow each position.
Atoms (fractional coordinates):
Na 0.0000 0.0000 0.0000  4 Bi 3.36, 4 Sb 3.36
Na 0.0000 0.5000 0.5000  4 Bi 3.36, 4 Sb 3.36
Na 0.5000 0.0000 0.5000  4 Bi 3.36, 4 Sb 3.36
Na 0.5000 0.5000 0.0000  4 Bi 3.36, 4 Sb 3.36
Ca 0.0000 0.0000 0.5000  4 Sb 3.36, 4 Bi 3.36
Ca 0.0000 0.5000 0.0000  4 Sb 3.36, 4 Bi 3.36
Ca 0.5000 0.0000 0.0000  4 Sb 3.36, 4 Bi 3.36
Ca 0.5000 0.5000 0.5000  4 Bi 3.36, 4 Sb 3.36
Bi 0.2500 0.2500 0.2500  4 Na 3.36, 4 Ca 3.36
Bi 0.2500 0.7500 0.7500  4 Na 3.36, 4 Ca 3.36
Bi 0.7500 0.2500 0.7500  4 Na 3.36, 4 Ca 3.36
Bi 0.7500 0.7500 0.2500  4 Na 3.36, 4 Ca 3.36
Sb 0.2500 0.2500 0.7500  4 Na 3.36, 4 Ca 3.36
Sb 0.2500 0.7500 0.2500  4 Na 3.36, 4 Ca 3.36
Sb 0.7500 0.2500 0.2500  4 Na 3.36, 4 Ca 3.36
Sb 0.7500 0.7500 0.7500  4 Na 3.36, 4 Ca 3.36

## Properties
Formation energy without anion corrections   -0.470 eV per atom